(1)
{"formula": "Co2B3", "functional": "PBE", "state": "optimized geometry", "final_energy_ev_per_fu": -34.9, "cell": [[1.444, -8.771, 0.000], [1.444, 8.771, 0.000], [0.000, 0.000, 2.985]], "species": ["Co", "Co", "Co", "Co", "B", "B", "B", "B", "B", "B"], "frac_coords": [[0.074, 0.926, 0.750], [0.204, 0.796, 0.250], [0.796, 0.204, 0.750], [0.926, 0.074, 0.250], [0.322, 0.678, 0.250], [0.378, 0.622, 0.750], [0.476, 0.524, 0.750], [0.524, 0.476, 0.250], [0.622, 0.378, 0.250], [0.678, 0.322, 0.750]]}

---

(2)
{"formula": "Co3B2", "functional": "PBE", "state": "optimized geometry", "final_energy_ev_per_fu": -35.2, "cell": [[2.422, 1.398, 4.348], [-2.422, 1.398, 4.348], [0.000, -2.796, 4.348]], "species": ["Co", "Co", "Co", "Co", "Co", "Co", "B", "B", "B", "B"], "frac_coords": [[0.128, 0.750, 0.372], [0.250, 0.628, 0.872], [0.372, 0.128, 0.750], [0.628, 0.872, 0.250], [0.750, 0.372, 0.128], [0.872, 0.250, 0.628], [0.183, 0.183, 0.183], [0.317, 0.317, 0.317], [0.683, 0.683, 0.683], [0.817, 0.817, 0.817]]}

---

(3)
{"formula": "CoB3", "functional": "PBE", "state": "optimized geometry", "final_energy_ev_per_fu": -25.6, "cell": [[4.276, 0.000, 0.000], [-2.138, 3.703, 0.000], [0.000, 0.000, 3.420]], "species": ["Co", "Co", "B", "B", "B", "B", "B", "B"], "frac_coords": [[0.333, 0.667, 0.250], [0.667, 0.333, 0.750], [0.142, 0.284, 0.750], [0.142, 0.858, 0.750], [0.284, 0.142, 0.250], [0.716, 0.858, 0.750], [0.858, 0.142, 0.250], [0.858, 0.716, 0.250]]}

---

(4)
{"formula": "Co23B6", "functional": "PBE", "state": "optimized geometry", "final_energy_ev_per_fu": -207.8, "cell": [[0.000, 5.206, 5.206], [5.206, 0.000, 5.206], [5.206, 5.206, 0.000]], "species": ["Co", "Co", "Co", "Co", "Co", "Co", "Co", "Co", "Co", "Co", "Co", "Co", "Co", "Co", "Co", "Co", "Co", "Co", "Co", "Co", "Co", "Co", "Co", "B", "B", "B", "B", "B", "B"], "frac_coords": [[0.000, 0.000, 0.000], [0.000, 0.000, 0.337], [0.000, 0.000, 0.663], [0.000, 0.337, 0.000], [0.000, 0.337, 0.663], [0.000, 0.663, 0.000], [0.000, 0.663, 0.337], [0.141, 0.620, 0.620], [0.250, 0.250, 0.250], [0.337, 0.000, 0.000], [0.337, 0.000, 0.663], [0.337, 0.663, 0.000], [0.380, 0.380, 0.380], [0.380, 0.380, 0.859], [0.380, 0.859, 0.380], [0.620, 0.141, 0.620], [0.620, 0.620, 0.141], [0.620, 0.620, 0.620], [0.663, 0.000, 0.000], [0.663, 0.000, 0.337], [0.663, 0.337, 0.000], [0.750, 0.750, 0.750], [0.859, 0.380, 0.380], [0.276, 0.276, 0.724], [0.276, 0.724, 0.276], [0.276, 0.724, 0.724], [0.724, 0.276, 0.276], [0.724, 0.276, 0.724], [0.724, 0.724, 0.276]]}

---

(5)
{"formula": "CoB2", "functional": "PBE", "state": "optimized geometry", "final_energy_ev_per_fu": -19.8, "cell": [[0.000, 2.736, 2.736], [2.736, 0.000, 2.736], [2.736, 2.736, 0.000]], "species": ["Co", "Co", "B", "B", "B", "B"], "frac_coords": [[0.125, 0.125, 0.125], [0.875, 0.875, 0.875], [0.000, 0.500, 0.500], [0.500, 0.000, 0.500], [0.500, 0.500, 0.000], [0.500, 0.500, 0.500]]}

---

(6)
{"formula": "CsCoB", "functional": "PBE", "state": "optimized geometry", "final_energy_ev_per_fu": -8.2, "cell": [[0.000, 3.358, 3.358], [3.358, 0.000, 3.358], [3.358, 3.358, 0.000]], "species": ["Cs", "Co", "B"], "frac_coords": [[0.000, 0.000, 0.000], [0.500, 0.500, 0.500], [0.750, 0.750, 0.750]]}